# YCu2Re2 GGA-PBE relaxed
data_YCu2Re2
_space_group_name_H-M_alt 'P 1'
_space_group_IT_number 1
_space_group_name_Hall 'P 1'
_cell_length_a 4.1719
_cell_length_b 4.1719
_cell_length_c 5.9469
_cell_angle_alpha 69.47
_cell_angle_beta 69.47
_cell_angle_gamma 90.00
loop_
_atom_site_label
_atom_site_fract_x
_atom_site_fract_y
_atom_site_fract_z
_atom_site_occupancy
Re1 0.6103 0.6103 0.7794 1
Re2 0.3897 0.3897 0.2206 1
Y1 0.0000 0.0000 0.0000 1
Cu1 0.7500 0.2500 0.5000 1
Cu2 0.2500 0.7500 0.5000 1
# **DOS at the Fermi energy**: 6.19 states/eV/cell
# **Excess energy over the best structure of this formula in the dataset**: 0.00 eV per formula unit
# **Calculated density**: 10.87 g/cm³
# **Final energy**: -37.84 eV for the cell shown
# **Crystal system**: tetragonal
# **E_form**: 342 meV per atom

=====

# CsIn2S GGA-PBE relaxed
data_CsIn2S
_space_group_name_H-M_alt 'P 1'
_space_group_IT_number 1
_space_group_name_Hall 'P 1'
_cell_length_a 9.0946
_cell_length_b 9.0946
_cell_length_c 7.2871
_cell_angle_alpha 51.39
_cell_angle_beta 51.39
_cell_angle_gamma 90.00
loop_
_atom_site_label
_atom_site_fract_x
_atom_site_fract_y
_atom_site_fract_z
_atom_site_occupancy
In1 0.3750 0.4470 0.7500 1
In2 0.8750 0.8030 0.7500 1
In3 0.1970 0.6250 0.2500 1
In4 0.5530 0.1250 0.2500 1
Cs1 0.7500 0.2500 0.5000 1
Cs2 0.0000 0.0000 0.0000 1
S1 0.2500 0.7500 0.5000 1
S2 0.5000 0.5000 0.0000 1
# **DOS at the Fermi energy**: 4.64 states/eV/cell
# **Calculated density**: 4.62 g/cm³
# **Final energy**: -23.13 eV for the cell shown
# **Crystal system**: tetragonal

=====

# Sm12Er3In GGA-PBE relaxed
data_Sm12Er3In
_space_group_name_H-M_alt 'P 1'
_space_group_IT_number 1
_space_group_name_Hall 'P 1'
_cell_length_a 5.0314
_cell_length_b 5.0314
_cell_length_c 20.3883
_cell_angle_alpha 90.00
_cell_angle_beta 90.00
_cell_angle_gamma 90.00
loop_
_atom_site_label
_atom_site_fract_x
_atom_site_fract_y
_atom_site_fract_z
_atom_site_occupancy
Sm1 0.5000 0.0000 0.8786 1
Sm2 0.0000 0.5000 0.1214 1
Sm3 0.5000 0.0000 0.3738 1
Sm4 0.5000 0.5000 0.0000 1
Sm5 0.0000 0.5000 0.8786 1
Sm6 0.5000 0.0000 0.6262 1
Sm7 0.0000 0.5000 0.3738 1
Sm8 0.5000 0.5000 0.2467 1
Sm9 0.5000 0.5000 0.7533 1
Sm10 0.0000 0.5000 0.6262 1
Sm11 0.5000 0.5000 0.5000 1
Sm12 0.5000 0.0000 0.1214 1
Er1 0.0000 0.0000 0.5000 1
Er2 0.0000 0.0000 0.7514 1
Er3 0.0000 0.0000 0.2486 1
In1 0.0000 0.0000 0.0000 1
# **DOS at the Fermi energy**: 22.41 states/eV/cell
# **Calculated density**: 7.79 g/cm³
# **Final energy**: -73.81 eV for the cell shown
# **Crystal system**: tetragonal
# **E_form**: -47 meV per atom

=====

# Cu7AgAu4 GGA-PBE relaxed
data_Cu7AgAu4
_space_group_name_H-M_alt 'P 1'
_space_group_IT_number 1
_space_group_name_Hall 'P 1'
_cell_length_a 5.5067
_cell_length_b 3.9250
_cell_length_c 8.8404
_cell_angle_alpha 102.77
_cell_angle_beta 76.46
_cell_angle_gamma 89.94
loop_
_atom_site_label
_atom_site_fract_x
_atom_site_fract_y
_atom_site_fract_z
_atom_site_occupancy
Au1 0.7024 0.8447 0.6904 1
Au2 0.3132 0.3982 0.7965 1
Au3 0.2976 0.1553 0.3096 1
Au4 0.6868 0.6018 0.2035 1
Cu1 0.6604 0.2318 0.4639 1
Cu2 0.2258 0.5593 0.1178 1
Cu3 0.9746 0.7013 0.4021 1
Cu4 0.7742 0.4407 0.8822 1
Cu5 0.5000 0.0000 0.0000 1
Cu6 0.0254 0.2987 0.5979 1
Cu7 0.3396 0.7682 0.5361 1
Ag1 0.0000 0.0000 0.0000 1
# **DOS at the Fermi energy**: 4.06 states/eV/cell
# **Calculated density**: 12.31 g/cm³
# **Final energy**: -44.06 eV for the cell shown
# **Crystal system**: triclinic
# **E_form**: 48 meV per atom

=====

# La3PmNd6 GGA-PBE relaxed
data_La3PmNd6
_space_group_name_H-M_alt 'P 1'
_space_group_IT_number 1
_space_group_name_Hall 'P 1'
_cell_length_a 6.5109
_cell_length_b 11.3311
_cell_length_c 11.3311
_cell_angle_alpha 120.83
_cell_angle_beta 90.00
_cell_angle_gamma 90.00
loop_
_atom_site_label
_atom_site_fract_x
_atom_site_fract_y
_atom_site_fract_z
_atom_site_occupancy
La1 0.9638 0.0570 0.2913 1
La2 0.9638 0.7087 0.9430 1
La3 0.4638 0.9430 0.7087 1
La4 0.0817 0.3846 0.6154 1
La5 0.4638 0.2913 0.0570 1
La6 0.5817 0.6154 0.3846 1
Pm1 0.1067 0.1890 0.8110 1
Pm2 0.6067 0.8110 0.1890 1
Nd1 0.0557 0.7127 0.6286 1
Nd2 0.3732 0.0557 0.4725 1
Nd3 0.1469 0.7204 0.2796 1
Nd4 0.3732 0.5275 0.9443 1
Nd5 0.5557 0.6286 0.7127 1
Nd6 0.0557 0.3714 0.2873 1
Nd7 0.8732 0.9443 0.5275 1
Nd8 0.5557 0.2873 0.3714 1
Nd9 0.8732 0.4725 0.0557 1
Nd10 0.6469 0.2796 0.7204 1
Nd11 0.3644 0.9666 0.0334 1
Nd12 0.8644 0.0334 0.9666 1
# **DOS at the Fermi energy**: 28.81 states/eV/cell
# **Excess energy over the best structure of this formula in the dataset**: 0.00 eV per formula unit
# **Calculated density**: 6.60 g/cm³
# **Final energy**: -93.77 eV for the cell shown
# **Crystal system**: orthorhombic
# **E_form**: 125 meV per atom

=====

# CeTmTlIr GGA-PBE relaxed
data_CeTmTlIr
_space_group_name_H-M_alt 'P 1'
_space_group_IT_number 1
_space_group_name_Hall 'P 1'
_cell_length_a 3.4421
_cell_length_b 3.4421
_cell_length_c 8.1540
_cell_angle_alpha 90.00
_cell_angle_beta 90.00
_cell_angle_gamma 90.00
loop_
_atom_site_label
_atom_site_fract_x
_atom_site_fract_y
_atom_site_fract_z
_atom_site_occupancy
Ce1 0.5000 0.5000 0.7788 1
Tm1 0.5000 0.5000 0.3643 1
Tl1 0.0000 0.0000 0.0808 1
Ir1 0.0000 0.0000 0.5608 1
# **DOS at the Fermi energy**: 5.44 states/eV/cell
# **Excess energy over the best structure of this formula in the dataset**: 0.00 eV per formula unit
# **Calculated density**: 12.13 g/cm³
# **Final energy**: -23.94 eV for the cell shown
# **Crystal system**: tetragonal
# **E_form**: -576 meV per atom